Entry 1:
La2SbF (PBE, relaxed); calculated volume = 28.0 A^3/atom; space-group type = I-42d; offset from the most stable computed form = 108 meV per atom
1.0
-3.848 3.848 3.781
3.848 -3.848 3.781
3.848 3.848 -3.781
La Sb F
4 2 2
direct
0.046 0.625 0.921
0.375 0.296 0.421
0.704 0.125 0.079
0.875 0.954 0.579
0.250 0.750 0.500
0.500 0.500 0.000
0.000 0.000 0.000
0.750 0.250 0.500

---

Entry 2:
AcCdAgPd3 (PBE, relaxed); calculated volume = 22.3 A^3/atom; space-group type = Cmcm; raw total energy = -4.247 eV/atom
1.0
3.005 -6.392 0.000
3.005 6.392 0.000
0.000 0.000 6.960
Ac Cd Ag Pd
2 2 2 6
direct
0.163 0.837 0.750
0.837 0.163 0.250
0.143 0.857 0.250
0.857 0.143 0.750
0.398 0.602 0.750
0.602 0.398 0.250
0.235 0.235 0.000
0.235 0.235 0.500
0.363 0.637 0.250
0.637 0.363 0.750
0.765 0.765 0.000
0.765 0.765 0.500

---

Entry 3:
LaSc2Cr (PBE, relaxed); calculated volume = 24.3 A^3/atom; space-group type = Cmmm; offset from the most stable computed form = 196 meV per atom
1.0
3.336 -4.130 0.000
3.336 4.130 0.000
0.000 0.000 3.520
La Sc Cr
1 2 1
direct
0.000 0.000 0.000
0.000 0.500 0.500
0.500 0.000 0.500
0.500 0.500 0.000

---

Entry 4:
PmAg2PdO4 (PBE, relaxed); calculated volume = 14.7 A^3/atom; space-group type = I-42m; raw total energy = -5.334 eV/atom
1.0
-3.035 3.035 3.195
3.035 -3.035 3.195
3.035 3.035 -3.195
Pm Ag Pd O
1 2 1 4
direct
0.000 0.000 0.000
0.250 0.750 0.500
0.750 0.250 0.500
0.500 0.500 0.000
0.074 0.450 0.000
0.450 0.074 0.000
0.550 0.550 0.624
0.926 0.926 0.376

---

Entry 5:
K2Be2Ir (PBE, relaxed); calculated volume = 19.4 A^3/atom; space-group type = I4/mmm; offset from the most stable computed form = 0 meV per atom
1.0
-1.468 1.468 11.253
1.468 -1.468 11.253
1.468 1.468 -11.253
K Be Ir
2 2 1
direct
0.111 0.111 0.000
0.889 0.889 0.000
0.250 0.750 0.500
0.750 0.250 0.500
0.500 0.500 0.000

---

Entry 6:
In2ReIr (PBE, relaxed); calculated volume = 17.8 A^3/atom; space-group type = Cmmm; offset from the most stable computed form = 402 meV per atom
1.0
1.533 -2.519 0.000
1.533 2.519 0.000
0.000 0.000 9.221
In Re Ir
2 1 1
direct
0.000 0.000 0.246
0.000 0.000 0.754
0.500 0.500 0.500
0.500 0.500 0.000

---

Entry 7:
LaY3Ru (PBE, relaxed); calculated volume = 29.3 A^3/atom; space-group type = Cm; offset from the most stable computed form = 11 meV per atom
1.0
6.090 -1.910 0.000
6.090 1.910 0.000
-1.551 0.000 12.600
La Y Ru
2 6 2
direct
0.000 0.000 0.000
0.511 0.511 0.736
0.193 0.193 0.331
0.212 0.212 0.595
0.265 0.265 0.867
0.459 0.459 0.237
0.736 0.736 0.103
0.923 0.923 0.480
0.584 0.584 0.445
0.851 0.851 0.723

---

Entry 8:
SrHfAs (PBE, relaxed); calculated volume = 26.2 A^3/atom; space-group type = P4/nmm; raw total energy = -6.183 eV/atom
1.0
4.241 0.000 0.000
0.000 4.241 0.000
0.000 0.000 8.724
Sr Hf As
2 2 2
direct
0.250 0.250 0.161
0.750 0.750 0.839
0.250 0.750 0.500
0.750 0.250 0.500
0.250 0.250 0.723
0.750 0.750 0.277

---

no.,magnetization (μB/cell)
1,3.8
2,0.0
3,2.9
4,1.5
5,0.4
6,0.0
7,0.0
8,0.0